Density functional theory data (GGA+U) for a geometry-optimized Ca2VCrO6 structure.

Its crystal system is monoclinic. For the calculated total energy, the calculation gives -7.3015 eV per atom. As for the calculated volume: 11.15 Å³/atom. The value obtained for the theoretical density is 4.16 g cm⁻³.

It has space group P2_1/c (No. 14), with a = 5.361 Å, b = 5.456 Å, c = 9.316 Å, α = 90.00°, β = 125.10° and γ = 90.00°. Symmetry generates all atoms from Ca at (0.242, 0.045, 0.251), V at (0.000, 0.000, 0.500), Cr at (0.500, 0.000, 0.000), O at (0.159, 0.216, 0.958), O at (0.245, 0.703, 0.961) and O at (0.320, 0.019, 0.743).